# 1
Material: CoReW
Method: DFT, GGA-PBE
State: relaxed

Summary:
ΔE to the lowest computed polymorph   684 meV/atom
Energy relative to the elements   691 meV per atom
Crystal system   cubic
SG   F-43m (216)

Cell: 4.044 4.044 4.044 Å, 60.00 60.00 60.00°
Last column: magnetic moment on the atom in μB.
Fractional coordinates of all 3 atoms:
W (0.500, 0.500, 0.500)  -0.03
Co (0.750, 0.750, 0.750)  0.63
Re (0.000, 0.000, 0.000)  0.10

=====

# 2
Material: Co2ReW
Method: DFT, GGA-PBE
State: relaxed

Summary:
ΔE to the lowest computed polymorph   0 meV/atom
Energy relative to the elements   -33 meV per atom
Crystal system   orthorhombic
SG   Pmm2 (25)

Cell: 4.241 2.645 4.582 Å, 89.99 90.00 90.00°
Fractional coordinates of all 4 atoms:
Co (0.500, 0.125, 0.292)
W (0.500, 0.625, 0.801)
Co (0.000, 0.125, 0.964)
Re (0.000, 0.625, 0.443)

=====

# 3
Material: Co2ReW
Method: DFT, GGA-PBE
State: relaxed

Summary:
ΔE to the lowest computed polymorph   142 meV/atom
Energy relative to the elements   109 meV per atom
Crystal system   tetragonal
SG   I-4m2 (119)

Cell: 4.602 4.602 4.602 Å, 132.10 132.08 70.09°
Last column: magnetic moment on the atom in μB.
Fractional coordinates of all 4 atoms:
Co (0.750, 0.250, 0.500)  0.84
Co (0.000, 0.000, 0.000)  0.72
Re (0.500, 0.500, 0.000)  0.20
W (0.250, 0.750, 0.500)  0.02

=====

# 4
Material: CoReW
Method: DFT, GGA-PBE
State: relaxed

Summary:
ΔE to the lowest computed polymorph   0 meV/atom
Energy relative to the elements   7 meV per atom
Crystal system   orthorhombic
SG   Fddd (70)

Cell: 4.754 4.738 8.841 Å, 82.25 74.40 59.89°
Fractional coordinates of all 12 atoms:
W (0.327, 0.500, 0.345)
Re (0.831, 0.337, 0.000)
W (0.173, 0.500, 0.655)
W (0.423, 0.000, 0.155)
Co (0.125, 0.000, 0.750)
Re (0.919, 0.163, 0.500)
W (0.577, 0.000, 0.845)
Re (0.169, 0.663, 0.000)
Co (0.625, 0.500, 0.750)
Re (0.581, 0.837, 0.500)
Co (0.875, 0.000, 0.250)
Co (0.875, 0.500, 0.250)

=====

# 5
Material: Co2ReW
Method: DFT, GGA-PBE
State: relaxed

Summary:
ΔE to the lowest computed polymorph   298 meV/atom
Energy relative to the elements   265 meV per atom
Crystal system   trigonal
SG   R3m (160)

Cell: 8.720 8.720 8.720 Å, 17.81 17.81 17.81°
Last column: magnetic moment on the atom in μB.
Fractional coordinates of all 4 atoms:
Co (0.996, 0.996, 0.996)  1.03
W (0.745, 0.745, 0.745)  -0.10
Re (0.506, 0.506, 0.506)  -0.01
Co (0.253, 0.253, 0.253)  1.32

=====

# 6
Material: CoReW
Method: DFT, GGA-PBE
State: relaxed

Summary:
ΔE to the lowest computed polymorph   102 meV/atom
Energy relative to the elements   108 meV per atom
Crystal system   tetragonal
SG   I4mm (107)

Cell: 6.107 6.107 6.107 Å, 154.67 154.67 36.12°
Last column: magnetic moment on the atom in μB.
Fractional coordinates of all 3 atoms:
Co (0.996, 0.996, 0.000)  0.13
Re (0.347, 0.347, 0.000)  0.01
W (0.657, 0.657, 0.000)  0.01

=====

# 7
Material: Co6ReW
Method: DFT, GGA-PBE
State: relaxed

Summary:
ΔE to the lowest computed polymorph   52 meV/atom
Energy relative to the elements   75 meV per atom
Crystal system   orthorhombic
SG   Amm2 (38)

Cell: 3.560 5.172 5.172 Å, 90.61 90.00 90.00°
Last column: magnetic moment on the atom in μB.
Fractional coordinates of all 8 atoms:
Co (0.500, 0.871, 0.623)  0.89
Co (0.000, 0.637, 0.363)  1.49
Re (0.000, 0.114, 0.886)  0.07
W (0.500, 0.384, 0.616)  -0.11
Co (0.500, 0.864, 0.136)  1.59
Co (0.500, 0.377, 0.129)  0.89
Co (0.000, 0.120, 0.367)  0.90
Co (0.000, 0.633, 0.880)  0.90

=====

# 8
Material: Co2ReW2
Method: DFT, GGA-PBE
State: relaxed

Summary:
Energy relative to the elements   126 meV per atom
Crystal system   tetragonal
SG   P4/mbm (127)

Cell: 6.651 6.651 3.076 Å, 90.00 90.00 90.00°
Fractional coordinates of all 10 atoms:
Re (0.500, 0.500, 0.000)
Co (0.877, 0.623, 0.000)
W (0.823, 0.323, 0.500)
W (0.177, 0.677, 0.500)
Co (0.377, 0.877, 0.000)
Co (0.123, 0.377, 0.000)
Re (0.000, 0.000, 0.000)
Co (0.623, 0.123, 0.000)
W (0.677, 0.823, 0.500)
W (0.323, 0.177, 0.500)

=====

# 9
Material: Co2ReW
Method: DFT, GGA-PBE
State: relaxed

Summary:
ΔE to the lowest computed polymorph   284 meV/atom
Energy relative to the elements   251 meV per atom
Crystal system   tetragonal
SG   P4/mmm (123)

Cell: 3.156 3.156 5.260 Å, 90.00 90.00 90.00°
Last column: magnetic moment on the atom in μB.
Fractional coordinates of all 4 atoms:
Co (0.000, 0.000, 0.501)  0.38
Re (0.500, 0.500, 0.250)  0.16
Co (0.000, 0.000, 0.999)  0.38
W (0.500, 0.500, 0.750)  -0.02

=====

# 10
Material: Co2ReW
Method: DFT, GGA-PBE
State: relaxed

Summary:
ΔE to the lowest computed polymorph   262 meV/atom
Energy relative to the elements   229 meV per atom
Crystal system   trigonal
SG   R-3m (166)

Cell: 8.660 8.660 8.660 Å, 17.84 17.84 17.84°
Last column: magnetic moment on the atom in μB.
Fractional coordinates of all 4 atoms:
W (0.750, 0.750, 0.750)  0.00
Re (0.250, 0.250, 0.250)  0.00
Co (0.501, 0.501, 0.501)  0.08
Co (0.999, 0.999, 0.999)  0.08

=====

# 11
Material: Co2ReW
Method: DFT, GGA-PBE
State: relaxed

Summary:
ΔE to the lowest computed polymorph   100 meV/atom
Energy relative to the elements   68 meV per atom
Crystal system   monoclinic
SG   Cm (8)

Cell: 4.509 4.509 4.618 Å, 81.18 81.18 34.23°
Fractional coordinates of all 4 atoms:
Re (0.494, 0.494, 0.537)
W (0.254, 0.254, 0.222)
Co (0.750, 0.750, 0.739)
Co (0.002, 0.002, 0.003)

=====

# 12
Material: CoRe3W
Method: DFT, GGA-PBE
State: relaxed

Summary:
ΔE to the lowest computed polymorph   1013 meV/atom
Energy relative to the elements   2629 meV per atom
Crystal system   cubic
SG   Pm-3m (221)

Cell: 4.680 4.680 4.680 Å, 90.00 90.00 90.00°
Fractional coordinates of all 5 atoms:
Co (0.500, 0.500, 0.500)
Re (0.000, 0.000, 0.500)
Re (0.500, 0.000, 0.000)
Re (0.000, 0.500, 0.000)
W (0.000, 0.000, 0.000)